First-principles (PBE) data for an optimized crystal structure of NaMgTeI, as listed in Alexandria via LeMat-Bulk.

Unit cell a=4.5506 b=4.5506 c=7.7401 alpha=90.10 beta=90.10 gamma=59.92
Closest atoms and distances in Å follow each position.
Element x y z (fractional)
Na1 0.0000 0.0000 0.0000  3 I 3.16, 3 Te 3.39-3.40
Mg1 0.3349 0.3349 0.4150  1 I 2.78, 3 Te 2.83
Te1 0.6672 0.6672 0.2780  3 Mg 2.83
I1 0.3327 0.3327 0.7737  1 Mg 2.78

Computed properties:
Its magnetic moment is 0.0 μB per formula unit. For the uncorrected formation energy, the calculation gives -4.07 eV/f.u. As for the space-group type: Cm, No. 8.